Entry 1:
Compound: KYCo
Source: Alexandria via LeMat-Bulk
Functional: PBE-GGA
Structure: relaxed

Unit cell a=7.7995 b=7.7995 c=7.7995 alpha=154.03 beta=154.03 gamma=37.06
With the nearest neighbours (Å) after each atom.
Positions (direct):
K (0.0000, 0.0000, 0.0000)  4 K 3.50, 4 Co 3.51, 1 Y 3.68
Y (0.7514, 0.7514, 0.0000)  4 Co 2.75
Co (0.3321, 0.3321, 0.0000)  4 Y 2.75

Computed properties:
space-group type: I4mm
energy relative to the elements: 0.42 eV per atom
relative energy among the computed polymorphs: 0.0 meV per atom
density of states at the Fermi level: 0.731 states/eV/atom

***

Entry 2:
Compound: ReH2Br
Source: Alexandria via LeMat-Bulk
Functional: PBE-GGA
Structure: relaxed

Unit cell a=5.0559 b=5.0559 c=5.0559 alpha=117.63 beta=117.63 gamma=94.16
With the nearest neighbours (Å) after each atom.
Positions (direct):
Re (0.0000, 0.0000, 0.0000)  4 H 1.73
Re (0.7500, 0.2500, 0.5000)  4 H 1.73
H (0.0167, 0.1250, 0.3917)  2 Re 1.73
H (0.3750, 0.9833, 0.1083)  2 Re 1.73
H (0.7333, 0.6250, 0.6083)  2 Re 1.73
H (0.8750, 0.2667, 0.8917)  2 Re 1.73
Br (0.2500, 0.7500, 0.5000)  4 H 2.44
Br (0.5000, 0.5000, 0.0000)  4 H 2.44

Computed properties:
space-group type: I-42d
relative energy among the computed polymorphs: 0.0 meV per atom
density of states at the Fermi level: 0.321 states/eV/atom

***

Entry 3:
Compound: LaPb3Br
Source: Alexandria via LeMat-Bulk
Functional: PBE-GGA
Structure: relaxed

Unit cell a=6.2255 b=6.2255 c=6.2255 alpha=90.00 beta=90.00 gamma=90.00
With the nearest neighbours (Å) after each atom.
Positions (direct):
La (0.0000, 0.0000, 0.0000)  6 Pb 3.11
Pb (0.0000, 0.0000, 0.5000)  2 La 3.11
Pb (0.0000, 0.5000, 0.0000)  2 La 3.11
Pb (0.5000, 0.0000, 0.0000)  2 La 3.11
Br (0.5000, 0.5000, 0.5000)  12 Pb 4.40

Computed properties:
space-group type: Pm-3m
raw formation energy: 0.483 eV/atom
relative energy among the computed polymorphs: 353.3 meV per atom
density of states at the Fermi level: 2.312 states/eV/atom

***

Entry 4:
Compound: SiPHO2
Source: Alexandria via LeMat-Bulk
Functional: PBE-GGA
Structure: relaxed

Unit cell a=3.2965 b=3.2965 c=5.2866 alpha=90.00 beta=90.00 gamma=90.00
With the nearest neighbours (Å) after each atom.
Positions (direct):
Si (0.0000, 0.0000, 0.0000)  4 O 1.65
P (0.0000, 0.0000, 0.5000)  4 H 2.33
H (0.5000, 0.5000, 0.5000)  4 P 2.33
O (0.0000, 0.5000, 0.0000)  2 Si 1.65
O (0.5000, 0.0000, 0.0000)  2 Si 1.65

Computed properties:
space-group type: P4/mmm
relative energy among the computed polymorphs: 0.0 meV per atom
density of states at the Fermi level: 0.392 states/eV/atom

***

Entry 5:
Compound: ThMnAu
Source: Alexandria via LeMat-Bulk
Functional: PBE-GGA
Structure: relaxed

Unit cell a=11.8059 b=11.8059 c=3.3845 alpha=97.19 beta=97.19 gamma=17.93
With the nearest neighbours (Å) after each atom.
Positions (direct):
Th (0.1565, 0.1565, 0.3824)  5 Mn 2.88-3.16, 2 Au 2.99-3.00
Th (0.8435, 0.8435, 0.6176)  5 Mn 2.88-3.16, 2 Au 2.99-3.00
Mn (0.2684, 0.2684, 0.1099)  2 Mn 2.12
Mn (0.7316, 0.7316, 0.8901)  2 Mn 2.12
Au (0.0496, 0.0496, 0.7928)  2 Au 2.85, 2 Th 2.99-3.00
Au (0.9504, 0.9504, 0.2072)  2 Au 2.85, 2 Th 2.99-3.00

Computed properties:
space-group type: C2/m
energy relative to the elements: 0.15 eV per atom
density of states at the Fermi level: 0.577 states/eV/atom

***

Entry 6:
Compound: AcTl2I5
Source: Alexandria via LeMat-Bulk
Functional: PBE-GGA
Structure: relaxed

Unit cell a=8.6918 b=8.6918 c=9.6581 alpha=116.65 beta=116.65 gamma=89.99
With the nearest neighbours (Å) after each atom.
Positions (direct):
Ac (0.0000, 0.0000, 0.0000)  5 I 3.10-3.24
Tl (0.3272, 0.8279, 0.6532)  4 I 3.45
Tl (0.8279, 0.3272, 0.6532)  4 I 3.45
I (0.1827, 0.1827, 0.8646)  1 Ac 3.24, 2 Tl 3.45
I (0.1825, 0.6823, 0.8638)  1 Ac 3.24, 2 Tl 3.45
I (0.2069, 0.2069, 0.4158)  1 Ac 3.10
I (0.6823, 0.1825, 0.8638)  1 Ac 3.24, 2 Tl 3.45
I (0.6818, 0.6818, 0.8628)  1 Ac 3.24, 2 Tl 3.45

Computed properties:
space-group type: Cm
raw formation energy: -1.015 eV/atom
relative energy among the computed polymorphs: 106.9 meV per atom
density of states at the Fermi level: 0.000 states/eV/atom

***

Entry 7:
Compound: Th3Pa4InN12
Source: Alexandria via LeMat-Bulk
Functional: PBE-GGA
Structure: relaxed

Unit cell a=7.4833 b=7.4833 c=7.4833 alpha=109.47 beta=109.47 gamma=109.47
With the nearest neighbours (Å) after each atom.
Positions (direct):
Th (0.0000, 0.5000, 0.5000)  4 N 2.40
Th (0.5000, 0.0000, 0.5000)  4 N 2.40
Th (0.5000, 0.5000, 0.0000)  4 N 2.40
Pa (0.0000, 0.0000, 0.5000)  6 N 2.26
Pa (0.0000, 0.5000, 0.0000)  6 N 2.26
Pa (0.5000, 0.0000, 0.0000)  6 N 2.26
Pa (0.5000, 0.5000, 0.5000)  6 N 2.26
In (0.0000, 0.0000, 0.0000)  12 N 3.25
N (0.1073, 0.7929, 0.3144)  2 Pa 2.26, 1 Th 2.40
N (0.2071, 0.3144, 0.5214)  2 Pa 2.26, 1 Th 2.40
N (0.2071, 0.6856, 0.8927)  2 Pa 2.26, 1 Th 2.40
N (0.3144, 0.1073, 0.7929)  2 Pa 2.26, 1 Th 2.40
N (0.3144, 0.5214, 0.2071)  2 Pa 2.26, 1 Th 2.40
N (0.4786, 0.7929, 0.6856)  2 Pa 2.26, 1 Th 2.40
N (0.5214, 0.2071, 0.3144)  2 Pa 2.26, 1 Th 2.40
N (0.6856, 0.4786, 0.7929)  2 Pa 2.26, 1 Th 2.40
N (0.6856, 0.8927, 0.2071)  2 Pa 2.26, 1 Th 2.40
N (0.7929, 0.3144, 0.1073)  2 Pa 2.26, 1 Th 2.40
N (0.7929, 0.6856, 0.4786)  2 Pa 2.26, 1 Th 2.40
N (0.8927, 0.2071, 0.6856)  2 Pa 2.26, 1 Th 2.40

Computed properties:
space-group type: Im-3
raw formation energy: -1.195 eV/atom
density of states at the Fermi level: 1.366 states/eV/atom

***

Entry 8:
Compound: Ho2ErTl2Zn2
Source: Alexandria via LeMat-Bulk
Functional: PBE-GGA
Structure: relaxed

Unit cell a=9.4568 b=9.4568 c=9.4568 alpha=28.92 beta=28.92 gamma=28.92
With the nearest neighbours (Å) after each atom.
Positions (direct):
Ho (0.1266, 0.1266, 0.1266)  3 Tl 3.10, 3 Zn 3.31, 1 Er 3.44
Ho (0.8734, 0.8734, 0.8734)  3 Tl 3.10, 3 Zn 3.31, 1 Er 3.44
Er (0.0000, 0.0000, 0.0000)  6 Zn 3.14, 6 Tl 3.36, 2 Ho 3.44
Tl (0.2611, 0.2611, 0.2611)  3 Zn 2.76
Tl (0.7389, 0.7389, 0.7389)  3 Zn 2.76
Zn (0.3909, 0.3909, 0.3909)  3 Tl 2.76
Zn (0.6091, 0.6091, 0.6091)  3 Tl 2.76

Computed properties:
space-group type: R-3m
energy relative to the elements: -0.13 eV per atom
density of states at the Fermi level: 0.432 states/eV/atom

***

Entry 9:
Compound: Ac6SbRh3
Source: Alexandria via LeMat-Bulk
Functional: PBE-GGA
Structure: relaxed

Unit cell a=12.6454 b=4.4302 c=12.8421 alpha=90.00 beta=108.10 gamma=90.00
With the nearest neighbours (Å) after each atom.
Positions (direct):
Ac (0.0266, 0.2500, 0.3881)  3 Rh 2.97-2.99
Ac (0.1095, 0.2500, 0.9452)  4 Rh 3.01-3.13
Ac (0.2121, 0.7500, 0.2599)  3 Rh 3.03-3.14
Ac (0.2922, 0.7500, 0.7630)  2 Rh 2.91
Ac (0.3580, 0.2500, 0.5341)  2 Rh 3.09, 3 Sb 3.41-3.44
Ac (0.4229, 0.7500, 0.0895)  3 Rh 2.97-3.06
Ac (0.5771, 0.2500, 0.9105)  3 Rh 2.97-3.06
Ac (0.6420, 0.7500, 0.4659)  2 Rh 3.09, 3 Sb 3.41-3.44
Ac (0.7078, 0.2500, 0.2370)  2 Rh 2.91
Ac (0.7879, 0.2500, 0.7401)  3 Rh 3.03-3.14
Ac (0.8905, 0.7500, 0.0548)  4 Rh 3.01-3.13
Ac (0.9734, 0.7500, 0.6119)  3 Rh 2.97-2.99
Sb (0.4483, 0.2500, 0.3104)  8 Ac 3.41-3.68
Sb (0.5517, 0.7500, 0.6896)  8 Ac 3.41-3.68
Rh (0.0474, 0.2500, 0.1627)  6 Ac 2.99-3.13
Rh (0.1792, 0.7500, 0.4924)  6 Ac 2.97-3.32
Rh (0.3447, 0.2500, 0.9179)  6 Ac 2.91-3.10
Rh (0.6553, 0.7500, 0.0821)  6 Ac 2.91-3.10
Rh (0.8208, 0.2500, 0.5076)  6 Ac 2.97-3.32
Rh (0.9526, 0.7500, 0.8373)  6 Ac 2.99-3.13

Computed properties:
space-group type: P2_1/m
raw formation energy: -0.695 eV/atom
density of states at the Fermi level: 0.590 states/eV/atom

***

Entry 10:
Compound: KC2
Source: Alexandria via LeMat-Bulk
Functional: PBE-GGA
Structure: relaxed

Unit cell a=5.0049 b=5.0049 c=5.0049 alpha=60.00 beta=60.00 gamma=60.00
With the nearest neighbours (Å) after each atom.
Positions (direct):
K (0.0000, 0.0000, 0.0000)  8 C 3.06
C (0.2500, 0.2500, 0.2500)  4 K 3.06
C (0.7500, 0.7500, 0.7500)  4 K 3.06

Computed properties:
space-group type: Fm-3m
energy relative to the elements: 3.93 eV per atom
relative energy among the computed polymorphs: 3427.3 meV per atom
density of states at the Fermi level: 1.346 states/eV/atom

***

Entry 11:
Compound: AlAsC2
Source: Alexandria via LeMat-Bulk
Functional: PBE-GGA
Structure: relaxed

Unit cell a=3.9643 b=3.9643 c=3.9643 alpha=60.00 beta=60.00 gamma=60.00
With the nearest neighbours (Å) after each atom.
Positions (direct):
Al (0.0000, 0.0000, 0.0000)  8 C 2.43
As (0.5000, 0.5000, 0.5000)  8 C 2.43
C (0.2500, 0.2500, 0.2500)  4 As 2.43, 4 Al 2.43
C (0.7500, 0.7500, 0.7500)  4 As 2.43, 4 Al 2.43

Computed properties:
space-group type: Fm-3m
energy relative to the elements: 1.88 eV per atom
relative energy among the computed polymorphs: 1524.2 meV per atom
density of states at the Fermi level: 0.441 states/eV/atom

***

Entry 12:
Compound: SrAcIr
Source: Alexandria via LeMat-Bulk
Functional: PBE-GGA
Structure: relaxed

Unit cell a=5.1725 b=5.1725 c=5.1725 alpha=60.00 beta=60.00 gamma=60.00
With the nearest neighbours (Å) after each atom.
Positions (direct):
Sr (0.0000, 0.0000, 0.0000)  4 Ir 3.17
Ac (0.5000, 0.5000, 0.5000)  4 Ir 3.17
Ir (0.2500, 0.2500, 0.2500)  4 Ac 3.17, 4 Sr 3.17

Computed properties:
space-group type: F-43m
energy relative to the elements: -0.35 eV per atom
relative energy among the computed polymorphs: 29.2 meV per atom
density of states at the Fermi level: 0.511 states/eV/atom

***

Number 1: E_tot -4.47 eV/atom. Number 2: E_tot -4.37 eV/atom. Number 3: E_tot -3.06 eV/atom. Number 4: E_tot -5.35 eV/atom. Number 5: E_tot -6.47 eV/atom. Number 6: E_tot -3.09 eV/atom. Number 7: E_tot -9.34 eV/atom. Number 8: E_tot -3.13 eV/atom. Number 9: E_tot -5.78 eV/atom. Number 10: E_tot -2.58 eV/atom. Number 11: E_tot -4.83 eV/atom. Number 12: E_tot -5.24 eV/atom.